# PrHo2Er3

PrHo2Er3 after structural relaxation (PBE, Alexandria via LeMat-Bulk).

Properties
Energy (eV per atom): -4.605
Excess energy over the best structure of this formula in the dataset (eV per atom): 0.0000
Spin magnetization (μB per cell): 0.00

Lattice parameters (Å, degrees): 7.132 7.142 8.809 78.23 78.26 60.20
Positions (direct):
Pr 0.250 0.250 0.001
Pr 0.750 0.750 0.999
Ho 0.139 0.139 0.665
Ho 0.360 0.861 0.337
Ho 0.640 0.139 0.663
Ho 0.861 0.861 0.335
Er 0.140 0.639 0.663
Er 0.250 0.750 0.000
Er 0.361 0.362 0.335
Er 0.639 0.638 0.665
Er 0.750 0.250 0.000
Er 0.860 0.361 0.337



# Pr8HoEr3

Pr8HoEr3 after structural relaxation (PBE, Alexandria via LeMat-Bulk).

Properties
Energy (eV per atom): -4.599
Spin magnetization (μB per cell): 0.00

Lattice parameters (Å, degrees): 6.996 6.996 9.926 97.19 97.19 119.07
Positions (direct):
Pr 0.182 0.182 0.165
Pr 0.182 0.683 0.666
Pr 0.317 0.818 0.334
Pr 0.318 0.318 0.834
Pr 0.682 0.682 0.166
Pr 0.683 0.182 0.666
Pr 0.818 0.317 0.334
Pr 0.818 0.818 0.835
Ho 0.500 0.500 0.500
Er 0.000 0.000 0.500
Er 0.000 0.500 0.000
Er 0.500 0.000 0.000